No. 1
# NiMo2Rh

NiMo2Rh after structural relaxation (PBE-GGA, Alexandria via LeMat-Bulk).

Lattice parameters (Å, degrees): 6.8665 6.8665 5.1639 90.00 90.00 90.00
Space group I-42d (No. 122)
One atom of each set of equivalent atoms:
Ni  0.0000  0.0000  0.0000
Mo  0.2311  0.2500  0.1250
Rh  0.0000  0.0000  0.5000

Calculated volume = 15.22 Å³ per atom
Total moment = 0.0 μB/f.u.
VASP energy = -131.29 eV for the cell shown

No. 2
# LiCaHg

LiCaHg after structural relaxation (PBE-GGA, Alexandria via LeMat-Bulk).

Lattice parameters (Å, degrees): 4.8355 6.0357 6.1537 77.72 66.99 66.53
Space group P-1 (No. 2)
One atom of each set of equivalent atoms:
Li  0.1634  0.4234  0.2486
Ca  0.4453  0.8144  0.2937
Hg  0.1846  0.7731  0.8579

Calculated volume = 25.21 Å³ per atom
Total moment = 0.0 μB/f.u.
VASP energy = -10.57 eV for the cell shown

No. 3
# LiMoAu

LiMoAu after structural relaxation (PBE-GGA, Alexandria via LeMat-Bulk).

Lattice parameters (Å, degrees): 2.7033 2.7033 13.0171 90.00 90.00 90.00
Space group I4mm (No. 107)
One atom of each set of equivalent atoms:
Li  0.0000  0.0000  0.0000
Mo  0.0000  0.0000  0.6739
Au  0.0000  0.0000  0.3462

Calculated volume = 15.85 Å³ per atom
Total moment = 0.0 μB/f.u.
VASP energy = -30.97 eV for the cell shown